(1)
DFT (PBE-GGA) results for a relaxed Eu2HoLu crystal.

a = 4.0779 Å, b = 4.0779 Å, c = 8.2865 Å
α = 90.00°, β = 90.00°, γ = 90.00°
With the nearest neighbours (Å) after each atom.
Space group P4/mmm (No. 123)
One atom of each set of equivalent atoms:
Eu (0.0000, 0.0000, 0.2444)  4 Lu 3.52, 4 Ho 3.58
Ho (0.5000, 0.5000, 0.5000)  8 Eu 3.58
Lu (0.5000, 0.5000, 0.0000)  8 Eu 3.52

Summary:
ΔE_f   0.1770 eV per atom
Distance to the lowest polymorph of the same formula   58 meV per atom
Raw total energy   -7.2349 eV/atom



(2)
DFT (PBE-GGA) results for a relaxed Eu2HoLu crystal.

a = 3.6263 Å, b = 3.6263 Å, c = 36.0777 Å
α = 90.00°, β = 90.00°, γ = 120.00°
With the nearest neighbours (Å) after each atom.
Space group R-3m (No. 166, hexagonal axes)
One atom of each set of equivalent atoms:
Eu (0.0000, 0.0000, 0.2493)  6 Eu 3.63, 3 Lu 3.64, 3 Ho 3.68
Ho (0.0000, 0.0000, 0.0000)  6 Ho 3.63, 6 Eu 3.68
Lu (0.0000, 0.0000, 0.5000)  6 Lu 3.63, 6 Eu 3.64

Summary:
ΔE_f   0.1193 eV per atom
Distance to the lowest polymorph of the same formula   0 meV per atom
Raw total energy   -7.2926 eV/atom



(3)
DFT (PBE-GGA) results for a relaxed EuHo2Lu crystal.

a = 5.0358 Å, b = 5.0358 Å, c = 5.0528 Å
α = 90.00°, β = 90.00°, γ = 90.00°
With the nearest neighbours (Å) after each atom.
Space group P4/mmm (No. 123)
One atom of each set of equivalent atoms:
Eu (0.0000, 0.0000, 0.0000)  4 Lu 3.56, 8 Ho 3.57
Ho (0.0000, 0.5000, 0.5000)  4 Ho 3.56, 4 Eu 3.57, 4 Lu 3.57
Lu (0.5000, 0.5000, 0.0000)  4 Eu 3.56, 8 Ho 3.57

Summary:
ΔE_f   0.1054 eV per atom
Distance to the lowest polymorph of the same formula   0 meV per atom
Raw total energy   -5.8824 eV/atom



(4)
DFT (PBE-GGA) results for a relaxed EuHoLu crystal.

a = 3.5941 Å, b = 3.5941 Å, c = 8.8044 Å
α = 90.00°, β = 90.00°, γ = 120.00°
With the nearest neighbours (Å) after each atom.
Space group P3m1 (No. 156)
One atom of each set of equivalent atoms:
Eu (0.0000, 0.0000, 0.0000)  6 Eu 3.59, 3 Lu 3.66, 3 Ho 3.71
Ho (0.6667, 0.3333, 0.3490)  3 Lu 3.42, 6 Ho 3.59, 3 Eu 3.71
Lu (0.3333, 0.6667, 0.6574)  3 Ho 3.42, 6 Lu 3.59, 3 Eu 3.66

Summary:
ΔE_f   0.0729 eV per atom
Distance to the lowest polymorph of the same formula   0 meV per atom
Raw total energy   -6.3848 eV/atom



(5)
DFT (PBE-GGA) results for a relaxed EuHoLu crystal.

a = 3.6069 Å, b = 3.6069 Å, c = 15.2407 Å
α = 90.00°, β = 90.00°, γ = 90.00°
With the nearest neighbours (Å) after each atom.
Space group I4mm (No. 107)
One atom of each set of equivalent atoms:
Eu (0.0000, 0.0000, 0.0000)  4 Eu 3.61, 4 Lu 3.68, 4 Ho 3.71
Ho (0.0000, 0.0000, 0.6764)  4 Lu 3.42, 4 Ho 3.61, 4 Eu 3.71
Lu (0.0000, 0.0000, 0.3255)  4 Ho 3.42, 4 Lu 3.61, 4 Eu 3.68

Summary:
ΔE_f   0.0765 eV per atom
Distance to the lowest polymorph of the same formula   4 meV per atom
Raw total energy   -6.3812 eV/atom



(6)
DFT (PBE-GGA) results for a relaxed NdEuHoLu crystal.

a = 8.1376 Å, b = 8.1376 Å, c = 8.1376 Å
α = 90.00°, β = 90.00°, γ = 90.00°
With the nearest neighbours (Å) after each atom.
Space group F-43m (No. 216)
One atom of each set of equivalent atoms:
Nd (0.0000, 0.0000, 0.0000)  4 Eu 3.52, 4 Lu 3.52
Eu (0.2500, 0.2500, 0.2500)  4 Ho 3.52, 4 Nd 3.52
Ho (0.0000, 0.0000, 0.5000)  4 Lu 3.52, 4 Eu 3.52
Lu (0.2500, 0.2500, 0.7500)  4 Ho 3.52, 4 Nd 3.52

Summary:
ΔE_f   0.1493 eV per atom
Raw total energy   -5.8860 eV/atom



(7)
DFT (PBE-GGA) results for a relaxed EuHoLuSc crystal.

a = 7.8749 Å, b = 7.8749 Å, c = 7.8749 Å
α = 90.00°, β = 90.00°, γ = 90.00°
With the nearest neighbours (Å) after each atom.
Space group F-43m (No. 216)
One atom of each set of equivalent atoms:
Eu (0.0000, 0.0000, 0.0000)  4 Ho 3.41, 4 Lu 3.41
Ho (0.2500, 0.2500, 0.2500)  4 Sc 3.41, 4 Eu 3.41
Lu (0.2500, 0.2500, 0.7500)  4 Sc 3.41, 4 Eu 3.41
Sc (0.0000, 0.0000, 0.5000)  4 Ho 3.41, 4 Lu 3.41

Summary:
ΔE_f   0.1854 eV per atom
Raw total energy   -6.2408 eV/atom



(8)
DFT (PBE-GGA) results for a relaxed EuHoLuTl crystal.

a = 7.8189 Å, b = 7.8189 Å, c = 7.8189 Å
α = 90.00°, β = 90.00°, γ = 90.00°
With the nearest neighbours (Å) after each atom.
Space group F-43m (No. 216)
One atom of each set of equivalent atoms:
Eu (0.0000, 0.0000, 0.0000)  4 Lu 3.39, 4 Tl 3.39
Ho (0.0000, 0.0000, 0.5000)  4 Tl 3.39, 4 Lu 3.39
Lu (0.2500, 0.2500, 0.2500)  4 Ho 3.39, 4 Eu 3.39
Tl (0.2500, 0.2500, 0.7500)  4 Ho 3.39, 4 Eu 3.39

Summary:
ΔE_f   -0.0295 eV per atom
Raw total energy   -5.4644 eV/atom



(9)
DFT (PBE-GGA) results for a relaxed EuYHoLu crystal.

a = 8.0673 Å, b = 8.0673 Å, c = 8.0673 Å
α = 90.00°, β = 90.00°, γ = 90.00°
With the nearest neighbours (Å) after each atom.
Space group F-43m (No. 216)
One atom of each set of equivalent atoms:
Eu (0.0000, 0.0000, 0.0000)  4 Y 3.49, 4 Lu 3.49
Y (0.2500, 0.2500, 0.2500)  4 Ho 3.49, 4 Eu 3.49
Ho (0.0000, 0.0000, 0.5000)  4 Lu 3.49, 4 Y 3.49
Lu (0.2500, 0.2500, 0.7500)  4 Eu 3.49, 4 Ho 3.49

Summary:
ΔE_f   0.1652 eV per atom
Raw total energy   -6.2941 eV/atom



(10)
DFT (PBE-GGA) results for a relaxed EuHoMg4 crystal.

a = 8.6751 Å, b = 8.6751 Å, c = 8.6751 Å
α = 90.00°, β = 90.00°, γ = 90.00°
With the nearest neighbours (Å) after each atom.
Space group F-43m (No. 216)
One atom of each set of equivalent atoms:
Eu (0.0000, 0.0000, 0.0000)  12 Mg 3.60, 4 Ho 3.76
Ho (0.2500, 0.2500, 0.7500)  12 Mg 3.59, 4 Eu 3.76
Mg (0.1244, 0.1244, 0.3756)  6 Mg 3.05-3.08

Summary:
ΔE_f   -0.0709 eV per atom
Raw total energy   -3.6093 eV/atom



(11)
DFT (PBE-GGA) results for a relaxed EuHoMg crystal.

a = 5.5962 Å, b = 5.5962 Å, c = 3.4062 Å
α = 90.00°, β = 90.00°, γ = 120.00°
With the nearest neighbours (Å) after each atom.
Space group P3m1 (No. 156)
One atom of each set of equivalent atoms:
Eu (0.0000, 0.0000, 0.0000)  3 Mg 3.38, 2 Eu 3.41, 3 Ho 3.49
Ho (0.3333, 0.6667, 0.6092)  3 Mg 3.40, 2 Ho 3.41, 3 Eu 3.49
Mg (0.6667, 0.3333, 0.2946)  3 Eu 3.38, 3 Ho 3.40, 2 Mg 3.41

Summary:
ΔE_f   0.0811 eV per atom
Distance to the lowest polymorph of the same formula   71 meV per atom
Raw total energy   -5.4012 eV/atom



(12)
DFT (PBE-GGA) results for a relaxed Eu5Ho3Mg12 crystal.

a = 18.5040 Å, b = 18.5040 Å, c = 18.5040 Å
α = 90.00°, β = 90.00°, γ = 90.00°
With the nearest neighbours (Å) after each atom.
Space group Ia-3d (No. 230)
One atom of each set of equivalent atoms:
Eu (0.0000, 0.0000, 0.0000)  6 Mg 3.23
Eu (0.0000, 0.2500, 0.3750)  8 Mg 3.19-3.36
Ho (0.0000, 0.2500, 0.1250)  4 Mg 3.17
Mg (0.0073, 0.0802, 0.3452)  1 Mg 3.15, 1 Ho 3.17, 3 Eu 3.19-3.36

Summary:
ΔE_f   0.6260 eV per atom
Raw total energy   -3.5860 eV/atom



(13)
DFT (PBE-GGA) results for a relaxed EuHo2Mg crystal.

a = 3.7403 Å, b = 3.7403 Å, c = 8.9255 Å
α = 90.00°, β = 90.00°, γ = 90.00°
With the nearest neighbours (Å) after each atom.
Space group P4/mmm (No. 123)
One atom of each set of equivalent atoms:
Eu (0.0000, 0.0000, 0.0000)  8 Ho 3.73, 4 Eu 3.74
Ho (0.5000, 0.5000, 0.2939)  4 Mg 3.22
Mg (0.0000, 0.0000, 0.5000)  8 Ho 3.22

Summary:
ΔE_f   0.0269 eV per atom
Distance to the lowest polymorph of the same formula   0 meV per atom
Raw total energy   -5.2292 eV/atom



(14)
DFT (PBE-GGA) results for a relaxed EuHo2Mg crystal.

a = 5.3625 Å, b = 5.3625 Å, c = 4.2874 Å
α = 90.00°, β = 90.00°, γ = 90.00°
With the nearest neighbours (Å) after each atom.
Space group P4/mmm (No. 123)
One atom of each set of equivalent atoms:
Eu (0.0000, 0.0000, 0.0000)  8 Ho 3.43, 4 Mg 3.79
Ho (0.0000, 0.5000, 0.5000)  4 Mg 3.43, 4 Eu 3.43, 4 Ho 3.79
Mg (0.5000, 0.5000, 0.0000)  8 Ho 3.43, 4 Eu 3.79

Summary:
ΔE_f   0.0966 eV per atom
Distance to the lowest polymorph of the same formula   70 meV per atom
Raw total energy   -5.1595 eV/atom



(15)
DFT (PBE-GGA) results for a relaxed EuHoMg crystal.

a = 3.7908 Å, b = 3.7908 Å, c = 13.1636 Å
α = 90.00°, β = 90.00°, γ = 90.00°
With the nearest neighbours (Å) after each atom.
Space group I4mm (No. 107)
One atom of each set of equivalent atoms:
Eu (0.0000, 0.0000, 0.0000)  4 Mg 3.44, 4 Ho 3.73, 4 Eu 3.79
Ho (0.0000, 0.0000, 0.3034)  4 Mg 3.25
Mg (0.0000, 0.0000, 0.6642)  4 Ho 3.25, 4 Eu 3.44

Summary:
ΔE_f   0.0101 eV per atom
Distance to the lowest polymorph of the same formula   0 meV per atom
Raw total energy   -5.4722 eV/atom



(16)
DFT (PBE-GGA) results for a relaxed EuHo2Mg crystal.

a = 3.4782 Å, b = 3.4782 Å, c = 36.5855 Å
α = 90.00°, β = 90.00°, γ = 120.00°
With the nearest neighbours (Å) after each atom.
Space group R-3m (No. 166, hexagonal axes)
One atom of each set of equivalent atoms:
Eu (0.0000, 0.0000, 0.0000)  2 Ho 3.45, 6 Eu 3.48
Ho (0.0000, 0.0000, 0.0943)  3 Mg 3.32, 1 Eu 3.45, 6 Ho 3.48
Mg (0.0000, 0.0000, 0.5000)  6 Ho 3.32, 6 Mg 3.48

Summary:
ΔE_f   0.2080 eV per atom
Distance to the lowest polymorph of the same formula   181 meV per atom
Raw total energy   -5.0481 eV/atom



(17)
DFT (PBE-GGA) results for a relaxed EuHo2Mg crystal.

a = 7.8680 Å, b = 7.8680 Å, c = 7.8680 Å
α = 90.00°, β = 90.00°, γ = 90.00°
With the nearest neighbours (Å) after each atom.
Space group Fm-3m (No. 225)
One atom of each set of equivalent atoms:
Eu (0.0000, 0.0000, 0.0000)  8 Ho 3.41
Ho (0.2500, 0.2500, 0.2500)  4 Mg 3.41, 4 Eu 3.41
Mg (0.0000, 0.0000, 0.5000)  8 Ho 3.41

Summary:
ΔE_f   0.0875 eV per atom
Distance to the lowest polymorph of the same formula   61 meV per atom
Raw total energy   -5.1687 eV/atom



(18)
DFT (PBE-GGA) results for a relaxed EuHoMgPd crystal.

a = 7.3724 Å, b = 7.3724 Å, c = 7.3724 Å
α = 90.00°, β = 90.00°, γ = 90.00°
With the nearest neighbours (Å) after each atom.
Space group F-43m (No. 216)
One atom of each set of equivalent atoms:
Eu (0.0000, 0.0000, 0.0000)  4 Pd 3.19, 4 Mg 3.19
Ho (0.0000, 0.0000, 0.5000)  4 Mg 3.19, 4 Pd 3.19
Mg (0.2500, 0.2500, 0.7500)  4 Eu 3.19, 4 Ho 3.19
Pd (0.2500, 0.2500, 0.2500)  4 Ho 3.19, 4 Eu 3.19

Summary:
ΔE_f   -0.3194 eV per atom
Raw total energy   -5.7293 eV/atom



(19)
DFT (PBE-GGA) results for a relaxed PmEuHoMg crystal.

a = 7.9934 Å, b = 7.9934 Å, c = 7.9934 Å
α = 90.00°, β = 90.00°, γ = 90.00°
With the nearest neighbours (Å) after each atom.
Space group F-43m (No. 216)
One atom of each set of equivalent atoms:
Pm (0.0000, 0.0000, 0.0000)  4 Ho 3.46, 4 Mg 3.46
Eu (0.0000, 0.0000, 0.5000)  4 Mg 3.46, 4 Ho 3.46
Ho (0.2500, 0.2500, 0.2500)  4 Eu 3.46, 4 Pm 3.46
Mg (0.2500, 0.2500, 0.7500)  4 Pm 3.46, 4 Eu 3.46

Summary:
ΔE_f   0.0644 eV per atom
Raw total energy   -5.2349 eV/atom



(20)
DFT (PBE-GGA) results for a relaxed PrEuHoMg crystal.

a = 8.0042 Å, b = 8.0042 Å, c = 8.0042 Å
α = 90.00°, β = 90.00°, γ = 90.00°
With the nearest neighbours (Å) after each atom.
Space group F-43m (No. 216)
One atom of each set of equivalent atoms:
Pr (0.0000, 0.0000, 0.0000)  4 Mg 3.47, 4 Eu 3.47
Eu (0.2500, 0.2500, 0.2500)  4 Pr 3.47, 4 Ho 3.47
Ho (0.0000, 0.0000, 0.5000)  4 Eu 3.47, 4 Mg 3.47
Mg (0.2500, 0.2500, 0.7500)  4 Pr 3.47, 4 Ho 3.47

Summary:
ΔE_f   0.0658 eV per atom
Raw total energy   -5.2408 eV/atom